Record 1
A plane-wave DFT calculation with GGA-PBE was carried out for an optimized crystal structure of K2ZnSi.

a = 4.434 Å, b = 6.211 Å, c = 6.211 Å
α = 54.15°, β = 90.00°, γ = 90.00°
Fractional coordinates of all 4 atoms:
K1 0.000 0.000 0.000
K2 0.500 0.302 0.302
Zn1 0.500 0.624 0.624
Si1 0.000 0.686 0.686

Formation energy (no corrections), eV per atom: 0.0308
SG: Amm2 (38)

Record 2
A plane-wave DFT calculation with GGA-PBE was carried out for an optimized crystal structure of Li2Ca13.

a = 7.078 Å, b = 9.344 Å, c = 9.838 Å
α = 67.77°, β = 81.20°, γ = 81.38°
Fractional coordinates of all 15 atoms:
Li1 0.135 0.289 0.461
Li2 0.865 0.711 0.539
Ca1 0.000 0.500 0.000
Ca2 0.050 0.915 0.708
Ca3 0.210 0.680 0.223
Ca4 0.257 0.094 0.945
Ca5 0.286 0.496 0.648
Ca6 0.441 0.883 0.405
Ca7 0.474 0.299 0.151
Ca8 0.526 0.701 0.849
Ca9 0.559 0.117 0.595
Ca10 0.714 0.504 0.352
Ca11 0.743 0.906 0.055
Ca12 0.790 0.320 0.777
Ca13 0.950 0.085 0.292

E_form, eV/atom: 0.0254
SG: P-1 (2)